Entry 1:
The following is a GGA-PBE calculation of an optimized crystal structure of Sr2GaAsN, from Alexandria.

Its density of states at the Fermi level is 4.3 states/eV/cell. Its space group is P2_1/m (11). Its total magnetization is 0.0 μB/cell.

a b c (Å): 4.002 6.821 9.132
angles (deg): 107.68 90.00 90.00
Fractional positions:
Sr (0.750, 0.798, 0.628)
Sr (0.750, 0.801, 0.036)
Sr (0.250, 0.202, 0.372)
Sr (0.250, 0.199, 0.964)
Ga (0.250, 0.527, 0.787)
Ga (0.750, 0.473, 0.213)
As (0.250, 0.695, 0.326)
As (0.750, 0.305, 0.674)
N (0.250, 0.819, 0.828)
N (0.750, 0.181, 0.172)



Entry 2:
The following is a GGA-PBE calculation of an optimized crystal structure of Li7Ag2Bi, from Alexandria.

Its density of states at the Fermi level is 2.0 states/eV/cell. The value obtained for the formation enthalpy at 0 K is -214 meV per atom. Its space group is P3m1 (156). Its total magnetization is 0.0 μB/cell.

a b c (Å): 4.665 4.665 10.747
angles (deg): 90.00 90.00 120.00
Fractional positions:
Li (0.667, 0.333, 0.593)
Li (0.667, 0.333, 0.858)
Li (0.000, 0.000, 0.722)
Li (0.000, 0.000, 0.276)
Li (0.333, 0.667, 0.442)
Li (0.333, 0.667, 0.966)
Li (0.667, 0.333, 0.109)
Ag (0.333, 0.667, 0.699)
Ag (0.667, 0.333, 0.355)
Bi (0.000, 0.000, 0.997)



Entry 3:
The following is a GGA-PBE calculation of an optimized crystal structure of La2Tb3Nd6, from Alexandria.

Its density of states at the Fermi level is 14.5 states/eV/cell. For the energy above the most stable polymorph in this dataset, the calculation gives 0.275 eV/atom. The value obtained for the formation enthalpy at 0 K is 438 meV per atom. Its space group is I4/mmm (139). Its total magnetization is 0.0 μB/cell.

a b c (Å): 5.753 5.753 13.045
angles (deg): 102.74 102.74 90.00
Fractional positions:
La (0.441, 0.441, 0.882)
La (0.559, 0.559, 0.118)
Tb (0.000, 0.000, 0.000)
Tb (0.839, 0.839, 0.678)
Tb (0.161, 0.161, 0.322)
Nd (0.097, 0.597, 0.193)
Nd (0.597, 0.097, 0.193)
Nd (0.903, 0.403, 0.807)
Nd (0.403, 0.903, 0.807)
Nd (0.701, 0.701, 0.402)
Nd (0.299, 0.299, 0.598)



Entry 4:
The following is a GGA-PBE calculation of an optimized crystal structure of Ag4I2ClF, from Alexandria.

Its density of states at the Fermi level is 0.5 states/eV/cell. Its space group is C2/c (15). Its total magnetization is 0.0 μB/cell.

a b c (Å): 7.858 7.858 8.590
angles (deg): 116.56 116.56 89.64
Fractional positions:
Ag (0.232, 0.788, 0.044)
Ag (0.712, 0.268, 0.456)
Ag (0.288, 0.732, 0.544)
Ag (0.768, 0.212, 0.956)
Ag (0.817, 0.794, 0.060)
Ag (0.706, 0.683, 0.440)
Ag (0.294, 0.317, 0.560)
Ag (0.183, 0.206, 0.940)
I (0.500, 0.000, 0.000)
I (0.500, 0.000, 0.500)
I (0.000, 0.000, 0.500)
I (0.500, 0.500, 0.000)
Cl (0.000, 0.500, 0.000)
Cl (0.000, 0.500, 0.500)
F (0.500, 0.500, 0.500)
F (0.000, 0.000, 0.000)



Entry 5:
The following is a GGA-PBE calculation of an optimized crystal structure of Ho2ThScAs4, from Alexandria.

Its density of states at the Fermi level is 1.5 states/eV/cell. The value obtained for the formation enthalpy at 0 K is -1444 meV per atom. Its space group is P2/m (10). Its total magnetization is 0.0 μB/cell.

a b c (Å): 4.109 7.107 7.071
angles (deg): 70.53 90.00 90.00
Fractional positions:
Ho (0.000, 0.000, 0.000)
Ho (0.500, 0.000, 0.500)
Th (0.500, 0.500, 0.000)
Sc (0.000, 0.500, 0.500)
As (0.000, 0.753, 0.739)
As (0.000, 0.247, 0.261)
As (0.500, 0.745, 0.261)
As (0.500, 0.255, 0.739)



Entry 6:
The following is a GGA-PBE calculation of an optimized crystal structure of HfAg3Au, from Alexandria.

Its density of states at the Fermi level is 4.1 states/eV/cell. For the energy above the most stable polymorph in this dataset, the calculation gives 0.334 eV/atom. The value obtained for the formation enthalpy at 0 K is 1328 meV per atom. Its space group is Pm-3m (221). Its total magnetization is 0.0 μB/cell.

a b c (Å): 5.219 5.219 5.219
angles (deg): 90.00 90.00 90.00
Fractional positions:
Hf (0.000, 0.000, 0.000)
Au (0.500, 0.500, 0.500)
Ag (0.000, 0.500, 0.000)
Ag (0.000, 0.000, 0.500)
Ag (0.500, 0.000, 0.000)



Entry 7:
The following is a GGA-PBE calculation of an optimized crystal structure of La6Hg2Ir, from Alexandria.

Its density of states at the Fermi level is 9.5 states/eV/cell. For the energy above the most stable polymorph in this dataset, the calculation gives 0.000 eV/atom. The value obtained for the formation enthalpy at 0 K is -447 meV per atom. Its space group is Amm2 (38). Its total magnetization is 0.0 μB/cell.

a b c (Å): 3.987 9.081 9.081
angles (deg): 122.12 90.00 90.00
Fractional positions:
La (0.500, 0.403, 0.403)
La (0.500, 0.590, 0.984)
La (0.500, 0.984, 0.590)
La (0.000, 0.776, 0.776)
La (0.000, 0.237, 0.987)
La (0.000, 0.987, 0.237)
Hg (0.000, 0.653, 0.324)
Hg (0.000, 0.324, 0.653)
Ir (0.500, 0.046, 0.046)



Entry 8:
The following is a GGA-PBE calculation of an optimized crystal structure of Zr2BS6, from Alexandria.

Its density of states at the Fermi level is 4.3 states/eV/cell. Its space group is C2/m (12). Its total magnetization is 0.0 μB/cell.

a b c (Å): 3.847 8.902 11.273
angles (deg): 34.03 80.18 77.52
Fractional positions:
Zr (0.208, 0.845, 0.739)
Zr (0.792, 0.155, 0.261)
B (0.000, 0.500, 0.500)
S (0.672, 0.662, 0.995)
S (0.328, 0.338, 0.005)
S (0.961, 0.829, 0.250)
S (0.330, 0.814, 0.527)
S (0.039, 0.171, 0.750)
S (0.670, 0.186, 0.473)



Entry 9:
The following is a GGA-PBE calculation of an optimized crystal structure of Er4AgC2, from Alexandria.

Its density of states at the Fermi level is 11.6 states/eV/cell. For the energy above the most stable polymorph in this dataset, the calculation gives 0.032 eV/atom. The value obtained for the formation enthalpy at 0 K is -255 meV per atom. Its space group is Cmcm (63). Its total magnetization is 1.1 μB/cell.

a b c (Å): 3.634 6.348 12.900
angles (deg): 90.00 90.00 106.63
Fractional positions:
C (0.135, 0.271, 0.439)
C (0.865, 0.729, 0.939)
C (0.135, 0.271, 0.061)
C (0.865, 0.729, 0.561)
Ag (0.612, 0.224, 0.750)
Ag (0.388, 0.776, 0.250)
Er (0.763, 0.526, 0.103)
Er (0.763, 0.526, 0.397)
Er (0.237, 0.474, 0.897)
Er (0.237, 0.474, 0.603)
Er (0.921, 0.841, 0.750)
Er (0.079, 0.159, 0.250)
Er (0.500, 0.000, 0.000)
Er (0.500, 0.000, 0.500)



Entry 10:
The following is a GGA-PBE calculation of an optimized crystal structure of NbVS, from Alexandria.

Its density of states at the Fermi level is 2.3 states/eV/cell. For the energy above the most stable polymorph in this dataset, the calculation gives 0.257 eV/atom. Its space group is I4mm (107). Its total magnetization is 0.0 μB/cell.

a b c (Å): 2.901 2.901 5.665
angles (deg): 104.84 104.84 90.00
Fractional positions:
Nb (0.323, 0.323, 0.646)
S (0.644, 0.644, 0.288)
V (0.033, 0.033, 0.066)



Entry 11:
The following is a GGA-PBE calculation of an optimized crystal structure of Ga5Mo3N12, from Alexandria.

Its density of states at the Fermi level is 41.1 states/eV/cell. Its space group is Ia-3d (230). Its total magnetization is 0.0 μB/cell.

a b c (Å): 10.319 10.319 10.319
angles (deg): 109.47 109.47 109.47
Fractional positions:
Mo (0.750, 0.375, 0.125)
Mo (0.875, 0.750, 0.125)
Mo (0.375, 0.750, 0.625)
Mo (0.250, 0.125, 0.375)
Mo (0.875, 0.125, 0.250)
Mo (0.375, 0.625, 0.250)
Mo (0.625, 0.375, 0.750)
Mo (0.125, 0.875, 0.750)
Mo (0.750, 0.875, 0.625)
Mo (0.625, 0.250, 0.375)
Mo (0.125, 0.250, 0.875)
Mo (0.250, 0.625, 0.875)
Ga (0.125, 0.375, 0.250)
Ga (0.000, 0.500, 0.000)
Ga (0.000, 0.000, 0.000)
Ga (0.375, 0.250, 0.125)
Ga (0.500, 0.000, 0.500)
Ga (0.500, 0.500, 0.000)
Ga (0.125, 0.750, 0.375)
Ga (0.750, 0.125, 0.875)
Ga (0.750, 0.625, 0.375)
Ga (0.375, 0.125, 0.750)
Ga (0.625, 0.875, 0.250)
Ga (0.500, 0.500, 0.500)
Ga (0.500, 0.000, 0.000)
Ga (0.000, 0.000, 0.500)
Ga (0.250, 0.375, 0.625)
Ga (0.250, 0.875, 0.125)
Ga (0.000, 0.500, 0.500)
Ga (0.875, 0.250, 0.625)
Ga (0.625, 0.750, 0.875)
Ga (0.875, 0.625, 0.750)
N (0.730, 0.133, 0.053)
N (0.323, 0.553, 0.420)
N (0.947, 0.367, 0.270)
N (0.553, 0.230, 0.133)
N (0.597, 0.730, 0.677)
N (0.947, 0.580, 0.177)
N (0.323, 0.770, 0.403)
N (0.080, 0.903, 0.133)
N (0.580, 0.947, 0.677)
N (0.730, 0.597, 0.177)
N (0.770, 0.447, 0.367)
N (0.823, 0.920, 0.053)
N (0.133, 0.730, 0.553)
N (0.367, 0.420, 0.097)
N (0.097, 0.920, 0.367)
N (0.403, 0.133, 0.580)
N (0.097, 0.177, 0.230)
N (0.447, 0.677, 0.080)
N (0.823, 0.903, 0.270)
N (0.133, 0.403, 0.080)
N (0.367, 0.947, 0.770)
N (0.580, 0.633, 0.403)
N (0.920, 0.823, 0.553)
N (0.770, 0.323, 0.903)
N (0.420, 0.367, 0.597)
N (0.080, 0.177, 0.447)
N (0.230, 0.677, 0.097)
N (0.177, 0.097, 0.730)
N (0.633, 0.053, 0.230)
N (0.867, 0.597, 0.920)
N (0.553, 0.323, 0.920)
N (0.597, 0.867, 0.420)
N (0.903, 0.823, 0.770)
N (0.903, 0.080, 0.633)
N (0.867, 0.270, 0.447)
N (0.177, 0.080, 0.947)
N (0.633, 0.580, 0.903)
N (0.420, 0.053, 0.323)
N (0.270, 0.403, 0.823)
N (0.230, 0.553, 0.633)
N (0.920, 0.097, 0.867)
N (0.677, 0.230, 0.597)
N (0.447, 0.770, 0.867)
N (0.053, 0.420, 0.823)
N (0.403, 0.270, 0.323)
N (0.053, 0.633, 0.730)
N (0.677, 0.447, 0.580)
N (0.270, 0.867, 0.947)



Entry 12:
The following is a GGA-PBE calculation of an optimized crystal structure of MnAlP2, from Alexandria.

Its density of states at the Fermi level is 1.7 states/eV/cell. The value obtained for the formation enthalpy at 0 K is -236 meV per atom. Its space group is R-3m (166). Its total magnetization is 2.4 μB/cell.

a b c (Å): 6.310 6.310 6.310
angles (deg): 31.10 31.10 31.10
Fractional positions:
P (0.006, 0.006, 0.006)
P (0.494, 0.494, 0.494)
Mn (0.750, 0.750, 0.750)
Al (0.250, 0.250, 0.250)



Entry 13:
The following is a GGA-PBE calculation of an optimized crystal structure of Na2MnOs, from Alexandria.

Its density of states at the Fermi level is 5.8 states/eV/cell. For the energy above the most stable polymorph in this dataset, the calculation gives 0.000 eV/atom. The value obtained for the formation enthalpy at 0 K is 1296 meV per atom. Its space group is I-42d (122). Its total magnetization is 8.6 μB/cell.

a b c (Å): 8.128 8.128 6.235
angles (deg): 49.32 49.32 90.00
Fractional positions:
Na (0.622, 0.125, 0.250)
Na (0.128, 0.625, 0.250)
Na (0.375, 0.378, 0.750)
Na (0.875, 0.872, 0.750)
Mn (0.500, 0.500, 0.000)
Mn (0.250, 0.750, 0.500)
Os (0.000, 0.000, 0.000)
Os (0.750, 0.250, 0.500)



Entry 14:
The following is a GGA-PBE calculation of an optimized crystal structure of La3CeY6, from Alexandria.

Its density of states at the Fermi level is 22.3 states/eV/cell. The value obtained for the formation enthalpy at 0 K is 247 meV per atom. Its space group is R3 (146). Its total magnetization is 0.0 μB/cell.

a b c (Å): 9.984 9.984 6.937
angles (deg): 43.98 43.98 60.00
Fractional positions:
La (0.408, 0.408, 0.777)
La (0.655, 0.655, 0.034)
La (0.122, 0.122, 0.633)
Ce (0.890, 0.890, 0.330)
Y (0.909, 0.583, 0.281)
Y (0.228, 0.909, 0.281)
Y (0.583, 0.228, 0.281)
Y (0.073, 0.404, 0.794)
Y (0.729, 0.073, 0.794)
Y (0.404, 0.729, 0.794)



Entry 15:
The following is a GGA-PBE calculation of an optimized crystal structure of CsTbInSe3, from Alexandria.

Its density of states at the Fermi level is 4.6 states/eV/cell. Its space group is P2_1/m (11). Its total magnetization is 0.0 μB/cell.

a b c (Å): 4.140 9.330 11.640
angles (deg): 109.96 90.00 90.00
Fractional positions:
Cs (0.250, 0.235, 0.273)
Cs (0.750, 0.765, 0.727)
Tb (0.250, 0.644, 0.144)
Tb (0.750, 0.356, 0.856)
In (0.250, 0.129, 0.581)
In (0.750, 0.871, 0.419)
Se (0.750, 0.880, 0.194)
Se (0.250, 0.120, 0.806)
Se (0.250, 0.674, 0.409)
Se (0.750, 0.326, 0.591)
Se (0.750, 0.422, 0.112)
Se (0.250, 0.578, 0.888)



Entry 16:
The following is a GGA-PBE calculation of an optimized crystal structure of SrCdTe2, from Alexandria.

Its density of states at the Fermi level is 1.5 states/eV/cell. Its space group is R-3m (166). Its total magnetization is 0.0 μB/cell.

a b c (Å): 9.859 9.859 9.859
angles (deg): 26.01 26.01 26.01
Fractional positions:
Sr (0.000, 0.000, 0.000)
Te (0.890, 0.890, 0.890)
Te (0.110, 0.110, 0.110)
Cd (0.500, 0.500, 0.500)



Entry 17:
The following is a GGA-PBE calculation of an optimized crystal structure of NdHoTm2, from Alexandria.

Its density of states at the Fermi level is 5.9 states/eV/cell. For the energy above the most stable polymorph in this dataset, the calculation gives 0.019 eV/atom. The value obtained for the formation enthalpy at 0 K is 28 meV per atom. Its space group is P4/mmm (123). Its total magnetization is 0.0 μB/cell.

a b c (Å): 3.549 3.549 10.017
angles (deg): 90.00 90.00 90.00
Fractional positions:
Tm (0.000, 0.000, 0.755)
Tm (0.000, 0.000, 0.245)
Nd (0.500, 0.500, 0.500)
Ho (0.500, 0.500, 0.000)



Entry 18:
The following is a GGA-PBE calculation of an optimized crystal structure of CaY2SbH, from Alexandria.

Its density of states at the Fermi level is 5.6 states/eV/cell. Its space group is P4/mmm (123). Its total magnetization is 1.1 μB/cell.

a b c (Å): 4.785 4.785 4.948
angles (deg): 90.00 90.00 90.00
Fractional positions:
Y (0.000, 0.500, 0.000)
Y (0.500, 0.000, 0.000)
Sb (0.500, 0.500, 0.500)
Ca (0.000, 0.000, 0.500)
H (0.000, 0.000, 0.000)



Entry 19:
The following is a GGA-PBE calculation of an optimized crystal structure of YPaIr2, from Alexandria.

Its density of states at the Fermi level is 5.2 states/eV/cell. For the energy above the most stable polymorph in this dataset, the calculation gives 0.221 eV/atom. The value obtained for the formation enthalpy at 0 K is -688 meV per atom. Its space group is Fm-3m (225). Its total magnetization is 0.0 μB/cell.

a b c (Å): 4.889 4.889 4.889
angles (deg): 60.00 60.00 60.00
Fractional positions:
Y (0.000, 0.000, 0.000)
Pa (0.500, 0.500, 0.500)
Ir (0.250, 0.250, 0.250)
Ir (0.750, 0.750, 0.750)



Entry 20:
The following is a GGA-PBE calculation of an optimized crystal structure of AcScTl2Se4, from Alexandria.

Its space group is P2/m (10). Its total magnetization is 0.0 μB/cell.

a b c (Å): 4.285 7.435 8.100
angles (deg): 107.57 90.00 90.00
Fractional positions:
Ac (0.500, 0.500, 0.000)
Sc (0.000, 0.000, 0.000)
Tl (0.500, 0.000, 0.500)
Tl (0.000, 0.500, 0.500)
Se (0.500, 0.207, 0.199)
Se (0.500, 0.793, 0.801)
Se (0.000, 0.232, 0.789)
Se (0.000, 0.768, 0.211)



Entry 21:
The following is a GGA-PBE calculation of an optimized crystal structure of AgW2Br, from Alexandria.

Its density of states at the Fermi level is 3.3 states/eV/cell. For the energy above the most stable polymorph in this dataset, the calculation gives 0.711 eV/atom. Its space group is Pmmm (47). Its total magnetization is 0.0 μB/cell.

a b c (Å): 3.057 4.691 4.998
angles (deg): 90.00 90.00 90.00
Fractional positions:
Br (0.000, 0.500, 0.500)
Ag (0.500, 0.000, 0.500)
W (0.000, 0.000, 0.000)
W (0.500, 0.500, 0.000)



no.,electronic total energy (eV/f.u.)
1,-23.13
2,-25.12
3,-47.53
4,-21.38
5,-53.05
6,-15.15
7,-43.05
8,-56.79
9,-41.33
10,-24.35
11,-139.64
12,-24.67
13,-17.85
14,-57.04
15,-26.41
16,-10.09
17,-18.18
18,-24.76
19,-36.44
20,-39.51
21,-25.60